a:
Here is crystalline TiMo3W at its relaxed geometry from the Alexandria database. Energies are from PBE.

a b c (Å): 5.481 5.481 5.481
angles (deg): 89.49 89.49 89.49
Fractional coordinates of all 10 atoms:
Ti  0.116  0.116  0.116
Ti  0.884  0.884  0.884
Mo  0.098  0.445  0.768
Mo  0.232  0.902  0.555
Mo  0.445  0.768  0.098
Mo  0.555  0.232  0.902
Mo  0.768  0.098  0.445
Mo  0.902  0.555  0.232
W  0.367  0.367  0.367
W  0.633  0.633  0.633

Results
space-group type	R-3
crystal system	trigonal

b:
Here is crystalline TiMo3W at its relaxed geometry from the Alexandria database. Energies are from PBE.

a b c (Å): 4.489 4.489 4.489
angles (deg): 90.00 90.00 90.00
Fractional coordinates of all 5 atoms:
Ti  0.000  0.000  0.000
Mo  0.000  0.000  0.500
Mo  0.000  0.500  0.000
Mo  0.500  0.000  0.000
W  0.500  0.500  0.500

Results
space-group type	Pm-3m
crystal system	cubic

c:
Here is crystalline TiMo3W at its relaxed geometry from the Alexandria database. Energies are from PBE.

a b c (Å): 3.154 5.245 5.258
angles (deg): 84.49 72.58 72.60
Fractional coordinates of all 5 atoms:
Ti  0.000  0.000  0.000
Mo  0.198  0.201  0.403
Mo  0.400  0.403  0.797
Mo  0.604  0.596  0.197
W  0.805  0.798  0.592

Results
space-group type	P1
crystal system	triclinic

d:
Here is crystalline TiMo3W at its relaxed geometry from the Alexandria database. Energies are from PBE.

a b c (Å): 4.730 4.730 4.730
angles (deg): 90.00 90.00 90.00
Fractional coordinates of all 5 atoms:
Ti  0.000  0.000  0.000
Mo  0.000  0.500  0.500
Mo  0.500  0.000  0.500
Mo  0.500  0.500  0.000
W  0.500  0.500  0.500

Results
space-group type	Pm-3m
crystal system	cubic

Which structure above is the least stable one? d is the least stable one.